Record 1
This record from the Alexandria database describes an optimized crystal structure of Na2VCdCl6. The functional is PBE-GGA.

Structure (extended XYZ):
```
20
Lattice="6.665 0.000 0.016 0.000 7.038 0.000 -0.090 0.000 9.751" Properties=species:S:1:pos:R:3 pbc="T T T"
Cl 0.838 3.815 2.550
Cl 5.356 1.283 0.648
Cl 4.488 4.923 0.651
Cl 5.465 1.405 4.248
Cl 1.978 2.236 5.516
Cl 5.737 3.223 7.217
Cl 1.219 5.755 9.119
Cl 1.110 5.633 5.519
Cl 2.087 2.114 9.116
Cl 2.450 0.296 2.334
Cl 4.125 6.741 7.433
Cl 4.596 4.802 4.251
Na 3.066 4.121 7.351
Na 6.444 6.436 2.484
Na 0.131 0.602 7.283
Na 3.508 2.917 2.415
V 3.333 0.000 0.008
V -0.045 3.519 4.875
Cd 3.287 0.000 4.883
Cd 0.000 3.519 0.000
```

Calculated values
Formation energy (no corrections): -1360.1 meV/atom
V: 22.9 Å³/atom
Raw total energy: -3.74 eV per atom


Record 2
This record from the Alexandria database describes an optimized crystal structure of EuGaSi. The functional is PBE-GGA.

Structure (extended XYZ):
```
3
Lattice="4.176 0.000 0.000 -2.088 3.616 0.000 0.000 0.000 4.435" Properties=species:S:1:pos:R:3 pbc="T T T"
Ga 0.000 2.411 2.217
Eu 0.000 0.000 0.000
Si 2.088 1.205 2.217
```

Calculated values
Formation energy (no corrections): -548.4 meV/atom
V: 22.3 Å³/atom
Raw total energy: -6.79 eV per atom
Fermi-level density of states: 1.71 states/eV/f.u.


Record 3
This record from the Alexandria database describes an optimized crystal structure of BaZrS2. The functional is PBE-GGA.

Structure (extended XYZ):
```
4
Lattice="0.000 3.572 3.572 3.572 0.000 3.572 3.572 3.572 0.000" Properties=species:S:1:pos:R:3 pbc="T T T"
Zr 0.000 0.000 0.000
Ba 3.572 3.572 3.572
S 1.786 1.786 1.786
S 5.358 5.358 5.358
```

Calculated values
Formation energy (no corrections): -1099.7 meV/atom
V: 22.8 Å³/atom
Raw total energy: -5.78 eV per atom
Fermi-level density of states: 0.96 states/eV/f.u.
Energy above the lowest structure with this stoichiometry: 0.192 eV per atom


Record 4
This record from the Alexandria database describes an optimized crystal structure of KBTe2H. The functional is PBE-GGA.

Structure (extended XYZ):
```
5
Lattice="6.415 0.000 0.000 0.000 6.415 0.000 0.000 0.000 3.509" Properties=species:S:1:pos:R:3 pbc="T T T"
H 0.000 0.000 1.754
K 0.000 0.000 0.000
B 3.208 3.208 1.754
Te 0.000 3.208 0.000
Te 3.208 0.000 0.000
```

Calculated values
V: 28.9 Å³/atom
Raw total energy: -1.91 eV per atom
Fermi-level density of states: 3.27 states/eV/f.u.


Record 5
This record from the Alexandria database describes an optimized crystal structure of Zn3GeO. The functional is PBE-GGA.

Structure (extended XYZ):
```
5
Lattice="-2.229 -0.506 3.567 -0.322 -4.150 -0.789 3.588 -0.687 2.145" Properties=species:S:1:pos:R:3 pbc="T T T"
Zn -0.161 -2.075 -0.395
Zn -1.115 -0.253 1.783
Zn 1.794 -0.343 1.073
Ge 0.518 -2.671 2.461
O 0.000 0.000 0.000
```

Calculated values
Formation energy (no corrections): -71.6 meV/atom
V: 15.2 Å³/atom
Raw total energy: -2.75 eV per atom
Fermi-level density of states: 1.90 states/eV/f.u.
Energy above the lowest structure with this stoichiometry: 0.000 eV per atom


Record 6
This record from the Alexandria database describes an optimized crystal structure of MgSe. The functional is PBE-GGA.

Structure (extended XYZ):
```
6
Lattice="0.326 0.099 -6.807 3.891 -0.770 -5.542 -0.508 -6.267 -2.876" Properties=species:S:1:pos:R:3 pbc="T T T"
Se 2.665 -0.609 -7.931
Se -0.243 -3.700 -1.858
Se 3.389 -2.324 -11.149
Mg 0.723 -1.709 -3.212
Mg 1.696 -2.853 -6.743
Mg -0.362 -5.928 -3.053
```

Calculated values
Formation energy (no corrections): -1144.0 meV/atom
V: 26.6 Å³/atom
Raw total energy: -3.68 eV per atom
Fermi-level density of states: 0.00 states/eV/f.u.